The following is a DFT calculation (PBE) of a relaxed CaHoHgRu crystal.

The space group is F-43m (No. 216) and the conventional cell measures 7.099, 7.099 and 7.099 Å, with angles of 90.00, 90.00 and 90.00 degrees. The inequivalent atoms are Ca at (0.000, 0.000, 0.000), Ho at (0.000, 0.000, 0.500), Hg at (0.250, 0.250, 0.250) and Ru at (0.250, 0.250, 0.750).

The calculation puts the formation energy at -0.193 eV per atom. As for the density of states at the Fermi level: 0.687 states/eV/atom.

---

The following is a DFT calculation (PBE) of a relaxed V7FePd12 crystal.

The space group is R-3 (No. 148, hexagonal axes) and the conventional cell measures 14.2432, 14.2432 and 5.2592 Å, with angles of 90.00, 90.00 and 120.00 degrees. The inequivalent atoms are V at (0.0000, 0.0000, 0.0000), V at (0.0588, 0.8957, 0.3194), Fe at (0.0000, 0.0000, 0.5000), Pd at (0.0235, 0.4237, 0.1150) and Pd at (0.0846, 0.8653, 0.8450).

The calculation puts the formation energy at -0.022 eV per atom. As for the density of states at the Fermi level: 0.864 states/eV/atom.

---

The following is a DFT calculation (PBE) of a relaxed ScGa2Tc crystal.

The space group is I-42d (No. 122) and the conventional cell measures 3.894, 3.894 and 19.071 Å, with angles of 90.00, 90.00 and 90.00 degrees. The inequivalent atoms are Sc at (0.000, 0.000, 0.000), Ga at (0.218, 0.250, 0.625) and Tc at (0.000, 0.000, 0.500).

The calculation puts the formation energy at 0.033 eV per atom. As for the density of states at the Fermi level: 0.756 states/eV/atom. For the energy above the most stable polymorph in this dataset, the calculation gives 434 meV per atom.

---

The following is a DFT calculation (PBE) of a relaxed CeNd3Er2Tm6 crystal.

The space group is C2/m (No. 12) and the conventional cell measures 6.147, 10.644 and 11.679 Å, with angles of 90.00, 100.10 and 90.00 degrees. The inequivalent atoms are Ce at (0.000, 0.000, 0.000), Nd at (0.000, 0.168, 0.500), Nd at (0.000, 0.500, 0.500), Er at (0.000, 0.333, 0.000), Tm at (0.248, 0.165, 0.246) and Tm at (0.249, 0.000, 0.754).

The calculation puts the formation energy at 0.037 eV per atom. As for the density of states at the Fermi level: 1.463 states/eV/atom.

---

The following is a DFT calculation (PBE) of a relaxed PuSn2F4 crystal.

The space group is I4/mmm (No. 139) and the conventional cell measures 4.516, 4.516 and 17.780 Å, with angles of 90.00, 90.00 and 90.00 degrees. The inequivalent atoms are Pu at (0.000, 0.000, 0.000), Sn at (0.000, 0.000, 0.253), F at (0.000, 0.000, 0.129) and F at (0.000, 0.500, 0.000).

Its uncorrected formation energy is -2398 meV per atom. As for the density of states at the Fermi level: 1.261 states/eV/atom.

---

The following is a DFT calculation (PBE) of a relaxed BaAs2Ru crystal.

The space group is P4/mmm (No. 123) and the conventional cell measures 4.424, 4.424 and 4.577 Å, with angles of 90.00, 90.00 and 90.00 degrees. The inequivalent atoms are Ba at (0.000, 0.000, 0.000), As at (0.000, 0.500, 0.500) and Ru at (0.500, 0.500, 0.000).

The calculation puts the formation energy at 0.368 eV per atom. As for the density of states at the Fermi level: 0.862 states/eV/atom.

---

The following is a DFT calculation (PBE) of a relaxed Pm3PuSc3Se8 crystal.

The space group is R-3m (No. 166, hexagonal axes) and the conventional cell measures 8.0100, 8.0100 and 20.0072 Å, with angles of 90.00, 90.00 and 120.00 degrees. The inequivalent atoms are Pm at (0.0000, 0.5000, 0.0000), Pu at (0.0000, 0.0000, 0.5000), Sc at (0.0000, 0.5000, 0.5000), Se at (0.0000, 0.0000, 0.2418) and Se at (0.0200, 0.5100, 0.7534).

Its uncorrected formation energy is -1719 meV per atom. As for the density of states at the Fermi level: 1.045 states/eV/atom.

---

The following is a DFT calculation (PBE) of a relaxed Pa3Al5Pd2 crystal.

The space group is Ibam (No. 72) and the conventional cell measures 10.588, 12.424 and 6.202 Å, with angles of 90.00, 90.00 and 90.00 degrees. The inequivalent atoms are Pa at (0.000, 0.000, 0.250), Pa at (0.240, 0.129, 0.000), Al at (0.000, 0.273, 0.250), Al at (0.000, 0.500, 0.250), Al at (0.156, 0.391, 0.000) and Pd at (0.127, 0.160, 0.500).

The calculation puts the formation energy at -0.255 eV per atom. As for the density of states at the Fermi level: 1.445 states/eV/atom.

---

The following is a DFT calculation (PBE) of a relaxed CePr2Ni crystal.

The space group is R-3m (No. 166, hexagonal axes) and the conventional cell measures 3.6517, 3.6517 and 31.6791 Å, with angles of 90.00, 90.00 and 120.00 degrees. The inequivalent atoms are Ce at (0.0000, 0.0000, 0.0000), Pr at (0.0000, 0.0000, 0.1090) and Ni at (0.0000, 0.0000, 0.5000).

The calculation puts the formation energy at 0.183 eV per atom. As for the density of states at the Fermi level: 2.134 states/eV/atom. For the energy above the most stable polymorph in this dataset, the calculation gives 193 meV per atom.

---

The following is a DFT calculation (PBE) of a relaxed RuRh2Au2 crystal.

The space group is P4/mbm (No. 127) and the conventional cell measures 6.560, 6.560 and 3.973 Å, with angles of 90.00, 90.00 and 90.00 degrees. The inequivalent atoms are Ru at (0.000, 0.000, 0.000), Rh at (0.136, 0.364, 0.000) and Au at (0.166, 0.666, 0.500).

The calculation puts the formation energy at 0.549 eV per atom. As for the density of states at the Fermi level: 1.736 states/eV/atom. For the energy above the most stable polymorph in this dataset, the calculation gives 0 meV per atom.

---

The following is a DFT calculation (PBE) of a relaxed SnTeI crystal.

The space group is P1 (No. 1) and the conventional cell measures 4.202, 5.150 and 13.124 Å, with angles of 95.21, 90.01 and 114.08 degrees. The inequivalent atoms are Sn at (0.000, 0.000, 0.000), Sn at (0.279, 0.558, 0.912), Te at (0.015, 0.032, 0.490), Te at (0.285, 0.573, 0.419), I at (0.580, 0.159, 0.163) and I at (0.704, 0.408, 0.749).

Its uncorrected formation energy is -56 meV per atom. As for the density of states at the Fermi level: 0.412 states/eV/atom.

---

The following is a DFT calculation (PBE) of a relaxed Dy5Y2Ho2 crystal.

The space group is C2/m (No. 12) and the conventional cell measures 16.308, 5.778 and 6.304 Å, with angles of 90.00, 105.29 and 90.00 degrees. The inequivalent atoms are Dy at (0.000, 0.000, 0.000), Dy at (0.179, 0.500, 0.359), Dy at (0.209, 0.000, 0.069), Y at (0.062, 0.500, 0.786) and Ho at (0.102, 0.000, 0.518).

The calculation puts the formation energy at 0.120 eV per atom. As for the density of states at the Fermi level: 2.148 states/eV/atom. For the energy above the most stable polymorph in this dataset, the calculation gives 0 meV per atom.

---

The following is a DFT calculation (PBE) of a relaxed ZrNi2Rh2 crystal.

The space group is I4/mmm (No. 139) and the conventional cell measures 3.451, 3.451 and 12.843 Å, with angles of 90.00, 90.00 and 90.00 degrees. The inequivalent atoms are Zr at (0.000, 0.000, 0.000), Ni at (0.000, 0.500, 0.250) and Rh at (0.000, 0.000, 0.394).

The calculation puts the formation energy at -0.195 eV per atom. As for the density of states at the Fermi level: 1.040 states/eV/atom. For the energy above the most stable polymorph in this dataset, the calculation gives 53 meV per atom.

---

The following is a DFT calculation (PBE) of a relaxed CdTeRu2 crystal.

The space group is Pm (No. 6) and the conventional cell measures 3.144, 4.821 and 4.800 Å, with angles of 90.00, 90.19 and 90.00 degrees. The inequivalent atoms are Cd at (0.000, 0.000, 0.000), Te at (0.500, 0.500, 0.266), Ru at (0.003, 0.500, 0.693) and Ru at (0.500, 0.000, 0.519).

Its uncorrected formation energy is 415 meV per atom. As for the density of states at the Fermi level: 1.151 states/eV/atom. For the energy above the most stable polymorph in this dataset, the calculation gives 168 meV per atom.

---

The following is a DFT calculation (PBE) of a relaxed La2CdSe crystal.

The space group is I-4m2 (No. 119) and the conventional cell measures 4.484, 4.484 and 11.410 Å, with angles of 90.00, 90.00 and 90.00 degrees. The inequivalent atoms are La at (0.000, 0.000, 0.000), La at (0.000, 0.500, 0.250), Cd at (0.000, 0.000, 0.500) and Se at (0.000, 0.500, 0.750).

Its uncorrected formation energy is -742 meV per atom. As for the density of states at the Fermi level: 1.150 states/eV/atom. For the energy above the most stable polymorph in this dataset, the calculation gives 311 meV per atom.

---

The following is a DFT calculation (PBE) of a relaxed Ac2PmHgTe5 crystal.

The space group is Cmc2_1 (No. 36) and the conventional cell measures 4.574, 19.593 and 13.869 Å, with angles of 90.00, 90.00 and 90.00 degrees. The inequivalent atoms are Ac at (0.000, 0.123, 0.000), Ac at (0.000, 0.124, 0.623), Pm at (0.000, 0.188, 0.318), Hg at (0.000, 0.436, 0.784), Te at (0.000, 0.037, 0.405), Te at (0.000, 0.295, 0.978), Te at (0.000, 0.299, 0.653), Te at (0.000, 0.353, 0.315) and Te at (0.000, 0.495, 0.596).

Its uncorrected formation energy is -1242 meV per atom. As for the density of states at the Fermi level: 0.393 states/eV/atom.

---

The following is a DFT calculation (PBE) of a relaxed CaScFe3 crystal.

The space group is Pm-3m (No. 221) and the conventional cell measures 4.651, 4.651 and 4.651 Å, with angles of 90.00, 90.00 and 90.00 degrees. The inequivalent atoms are Ca at (0.000, 0.000, 0.000), Sc at (0.500, 0.500, 0.500) and Fe at (0.000, 0.500, 0.500).

The calculation puts the formation energy at 0.980 eV per atom. As for the density of states at the Fermi level: 1.120 states/eV/atom. For the energy above the most stable polymorph in this dataset, the calculation gives 0 meV per atom.

---

The following is a DFT calculation (PBE) of a relaxed Ho4TlBiN crystal.

The space group is Cmcm (No. 63) and the conventional cell measures 6.667, 15.943 and 6.674 Å, with angles of 90.00, 90.00 and 90.00 degrees. The inequivalent atoms are Ho at (0.000, 0.091, 0.250), Ho at (0.000, 0.404, 0.250), Ho at (0.250, 0.250, 0.000), Tl at (0.000, 0.108, 0.750), Bi at (0.000, 0.396, 0.750) and N at (0.000, 0.247, 0.250).

Its uncorrected formation energy is -841 meV per atom. As for the density of states at the Fermi level: 0.569 states/eV/atom.

---

The following is a DFT calculation (PBE) of a relaxed CrCoSb2 crystal.

The space group is P4/mmm (No. 123) and the conventional cell measures 4.648, 4.648 and 3.199 Å, with angles of 90.00, 90.00 and 90.00 degrees. The inequivalent atoms are Cr at (0.000, 0.000, 0.000), Co at (0.500, 0.500, 0.000) and Sb at (0.000, 0.500, 0.500).

Its uncorrected formation energy is 335 meV per atom. As for the density of states at the Fermi level: 1.014 states/eV/atom.

---

The following is a DFT calculation (PBE) of a relaxed Ba2Li6P3 crystal.

The space group is P-62m (No. 189) and the conventional cell measures 8.0300, 8.0300 and 4.3530 Å, with angles of 90.00, 90.00 and 120.00 degrees. The inequivalent atoms are Ba at (0.3333, 0.6667, 0.0000), Li at (0.0000, 0.2897, 0.5000), Li at (0.0000, 0.7846, 0.0000) and P at (0.0000, 0.6487, 0.5000).

The calculation puts the formation energy at -0.654 eV per atom. As for the density of states at the Fermi level: 0.211 states/eV/atom.